Material: Ta3Nb4Pt
Method: DFT, PBE
State: optimized geometry

Cell: 3.144 7.604 7.686 Å, 119.65 101.80 90.00°
Fractional positions:
Ta 0.168 0.168 0.336
Ta 0.832 0.832 0.664
Ta 0.000 0.500 0.000
Nb 0.356 0.163 0.712
Nb 0.644 0.837 0.288
Nb 0.644 0.450 0.288
Nb 0.356 0.550 0.712
Pt 0.500 0.000 0.000

Output
The value obtained for the calculated density is 11870 kg/m³. As for the space-group type: Immm (71). The value obtained for the total magnetization is 0.00 μB/cell. The energy of formation from the pure elements comes out at 3.236 eV/f.u.